No. 1
Crystalline MoAsRuAu2 at its relaxed geometry. Source: Alexandria, functional PBE-GGA.

As for the electronic total energy: -4.890 eV per atom. The calculation puts the energy of formation at 1.372 eV per atom. The crystal system is tetragonal. For the mass density, the calculation gives 9622 kg/m3.

The structure belongs to space group P4/mmm (No. 123); the cell edges are 5.041, 5.041 and 4.521 Å and the angles 90.00°, 90.00° and 90.00°. The asymmetric unit holds Mo at (0.000, 0.000, 0.000), As at (0.500, 0.500, 0.000), Ru at (0.000, 0.000, 0.500) and Au at (0.000, 0.500, 0.500).



No. 2
Crystalline CrPb2I at its relaxed geometry. Source: Alexandria, functional PBE-GGA.

The value obtained for the uncorrected formation energy is 603 meV per atom. As for the electronic total energy: -4.045 eV per atom. The crystal system is tetragonal. For the energy above the most stable polymorph in this dataset, the calculation gives 0.364 kcal/mol of atoms. For the mass density, the calculation gives 6283 kg/m3.

The structure belongs to space group I-42d (No. 122); the cell edges are 6.013, 6.013 and 17.350 Å and the angles 90.00°, 90.00° and 90.00°. The asymmetric unit holds Cr at (0.000, 0.000, 0.000), Pb at (0.155, 0.250, 0.125) and I at (0.000, 0.000, 0.500).



No. 3
Crystalline LiAcNiAg at its relaxed geometry. Source: Alexandria, functional PBE-GGA.

As for the electronic total energy: -3.675 eV per atom. The calculation puts the energy of formation at -0.011 eV per atom. The crystal system is cubic. For the mass density, the calculation gives 7887 kg/m3.

The structure belongs to space group F-43m (No. 216); the cell edges are 6.961, 6.961 and 6.961 Å and the angles 90.00°, 90.00° and 90.00°. The asymmetric unit holds Li at (0.000, 0.000, 0.000), Ac at (0.250, 0.250, 0.750), Ni at (0.000, 0.000, 0.500) and Ag at (0.250, 0.250, 0.250).



No. 4
Crystalline HoHgCl at its relaxed geometry. Source: Alexandria, functional PBE-GGA.

The value obtained for the uncorrected formation energy is -1058 meV per atom. As for the electronic total energy: -3.300 eV per atom. The crystal system is orthorhombic. For the mass density, the calculation gives 7407 kg/m3.

The structure belongs to space group Amm2 (No. 38); the cell edges are 15.350, 3.677 and 6.371 Å and the angles 90.00°, 90.00° and 90.00°. The asymmetric unit holds Ho at (0.147, 0.000, 0.000), Hg at (0.000, 0.000, 0.667), Hg at (0.500, 0.000, 0.996) and Cl at (0.264, 0.000, 0.667).



No. 5
Crystalline BeNbC at its relaxed geometry. Source: Alexandria, functional PBE-GGA.

As for the electronic total energy: -7.752 eV per atom. The calculation puts the energy of formation at -0.079 eV per atom. The crystal system is orthorhombic. For the mass density, the calculation gives 5509 kg/m3.

The structure belongs to space group Cmcm (No. 63); the cell edges are 4.400, 7.944 and 3.931 Å and the angles 90.00°, 90.00° and 90.00°. The asymmetric unit holds Be at (0.000, 0.000, 0.000), Nb at (0.000, 0.308, 0.250) and C at (0.000, 0.180, 0.750).



No. 6
Crystalline YTa2In at its relaxed geometry. Source: Alexandria, functional PBE-GGA.

As for the electronic total energy: -7.978 eV per atom. The calculation puts the energy of formation at 0.249 eV per atom. The crystal system is monoclinic. For the mass density, the calculation gives 10912 kg/m3.

The structure belongs to space group C2/m (No. 12); the cell edges are 10.623, 3.078 and 5.373 Å and the angles 90.00°, 101.53° and 90.00°. The asymmetric unit holds Y at (0.000, 0.000, 0.000), Ta at (0.238, 0.000, 0.729) and In at (0.000, 0.500, 0.500).



No. 7
Crystalline FeP2PbS at its relaxed geometry. Source: Alexandria, functional PBE-GGA.

The value obtained for the uncorrected formation energy is 1624 meV per atom. As for the electronic total energy: -3.800 eV per atom. The crystal system is tetragonal. For the energy above the most stable polymorph in this dataset, the calculation gives 31.767 kcal/mol of atoms. For the mass density, the calculation gives 4333 kg/m3.

The structure belongs to space group P4/mmm (No. 123); the cell edges are 5.161, 5.161 and 5.137 Å and the angles 90.00°, 90.00° and 90.00°. The asymmetric unit holds Fe at (0.000, 0.000, 0.000), P at (0.000, 0.500, 0.500), Pb at (0.500, 0.500, 0.500) and S at (0.500, 0.500, 0.000).



No. 8
Crystalline PuMgS2 at its relaxed geometry. Source: Alexandria, functional PBE-GGA.

The value obtained for the uncorrected formation energy is -1546 meV per atom. As for the electronic total energy: -7.592 eV per atom. The crystal system is trigonal. For the energy above the most stable polymorph in this dataset, the calculation gives 0.000 kcal/mol of atoms. For the mass density, the calculation gives 6928 kg/m3.

The structure belongs to space group P-3m1 (No. 164); the cell edges are 3.7995, 3.7995 and 19.1196 Å and the angles 90.00°, 90.00° and 120.00°. The asymmetric unit holds Pu at (0.0000, 0.0000, 0.0000), Pu at (0.3333, 0.6667, 0.1745), Mg at (0.0000, 0.0000, 0.5000), Mg at (0.3333, 0.6667, 0.6558), S at (0.0000, 0.0000, 0.2681), S at (0.3333, 0.6667, 0.4221) and S at (0.3333, 0.6667, 0.9122).



No. 9
Crystalline CrFeMo2 at its relaxed geometry. Source: Alexandria, functional PBE-GGA.

As for the electronic total energy: -9.827 eV per atom. The calculation puts the energy of formation at 0.110 eV per atom. The crystal system is orthorhombic. For the energy above the most stable polymorph in this dataset, the calculation gives 0.231 kcal/mol of atoms. For the mass density, the calculation gives 8982 kg/m3.

The structure belongs to space group Cmm2 (No. 35); the cell edges are 3.090, 4.259 and 8.420 Å and the angles 90.00°, 90.00° and 90.00°. The asymmetric unit holds Cr at (0.000, 0.000, 0.000), Fe at (0.000, 0.500, 0.224), Mo at (0.000, 0.000, 0.475) and Mo at (0.000, 0.500, 0.750).



No. 10
Crystalline Tb2MgUN4 at its relaxed geometry. Source: Alexandria, functional PBE-GGA.

The value obtained for the uncorrected formation energy is -1364 meV per atom. As for the electronic total energy: -8.294 eV per atom. The crystal system is monoclinic. For the mass density, the calculation gives 9429 kg/m3.

The structure belongs to space group P2/m (No. 10); the cell edges are 5.766, 3.461 and 5.904 Å and the angles 90.00°, 108.02° and 90.00°. The asymmetric unit holds Tb at (0.000, 0.000, 0.000), Tb at (0.500, 0.500, 0.000), Mg at (0.000, 0.500, 0.500), U at (0.500, 0.000, 0.500), N at (0.256, 0.500, 0.265) and N at (0.265, 0.000, 0.733).



No. 11
Crystalline KTl2Os at its relaxed geometry. Source: Alexandria, functional PBE-GGA.

As for the electronic total energy: -3.198 eV per atom. The calculation puts the energy of formation at 1.067 eV per atom. The crystal system is orthorhombic. For the energy above the most stable polymorph in this dataset, the calculation gives 11.888 kcal/mol of atoms. For the mass density, the calculation gives 10667 kg/m3.

The structure belongs to space group Pmmm (No. 47); the cell edges are 3.070, 5.295 and 6.111 Å and the angles 90.00°, 90.00° and 90.00°. The asymmetric unit holds K at (0.000, 0.000, 0.000), Tl at (0.000, 0.500, 0.500), Tl at (0.500, 0.500, 0.000) and Os at (0.500, 0.000, 0.500).



No. 12
Crystalline Cd2HgAs at its relaxed geometry. Source: Alexandria, functional PBE-GGA.

As for the electronic total energy: -1.612 eV per atom. The calculation puts the energy of formation at 0.083 eV per atom. The crystal system is orthorhombic. For the energy above the most stable polymorph in this dataset, the calculation gives 1.597 kcal/mol of atoms. For the mass density, the calculation gives 8321 kg/m3.

The structure belongs to space group Pmm2 (No. 25); the cell edges are 4.089, 4.121 and 5.925 Å and the angles 90.00°, 90.00° and 90.00°. The asymmetric unit holds Cd at (0.000, 0.000, 0.000), Cd at (0.500, 0.500, 0.490), Hg at (0.500, 0.500, 0.988) and As at (0.000, 0.000, 0.496).



No. 13
Crystalline Sc5Al at its relaxed geometry. Source: Alexandria, functional PBE-GGA.

As for the electronic total energy: -6.029 eV per atom. The calculation puts the energy of formation at -0.129 eV per atom. The crystal system is monoclinic. For the energy above the most stable polymorph in this dataset, the calculation gives 0.302 kcal/mol of atoms. For the mass density, the calculation gives 3062 kg/m3.

The structure belongs to space group Cm (No. 8); the cell edges are 11.610, 3.244 and 7.492 Å and the angles 90.00°, 104.66° and 90.00°. The asymmetric unit holds Sc at (0.000, 0.000, 0.000), Sc at (0.036, 0.000, 0.615), Sc at (0.170, 0.500, 0.354), Sc at (0.224, 0.500, 0.929), Sc at (0.389, 0.000, 0.278) and Al at (0.327, 0.000, 0.666).



No. 14
Crystalline CuTc2 at its relaxed geometry. Source: Alexandria, functional PBE-GGA.

As for the electronic total energy: -8.122 eV per atom. The calculation puts the energy of formation at 0.154 eV per atom. The crystal system is monoclinic. For the energy above the most stable polymorph in this dataset, the calculation gives 1.507 kcal/mol of atoms. For the mass density, the calculation gives 10400 kg/m3.

The structure belongs to space group C2/c (No. 15); the cell edges are 8.142, 4.570 and 5.303 Å and the angles 90.00°, 122.85° and 90.00°. The asymmetric unit holds Cu at (0.000, 0.075, 0.250) and Tc at (0.167, 0.426, 0.734).



No. 15
Crystalline AgSbSe2Br at its relaxed geometry. Source: Alexandria, functional PBE-GGA.

The value obtained for the uncorrected formation energy is -198 meV per atom. As for the electronic total energy: -3.321 eV per atom. The crystal system is monoclinic. For the energy above the most stable polymorph in this dataset, the calculation gives 0.000 kcal/mol of atoms. For the mass density, the calculation gives 5242 kg/m3.

The structure belongs to space group P2_1/m (No. 11); the cell edges are 6.699, 5.501 and 8.135 Å and the angles 90.00°, 98.87° and 90.00°. The asymmetric unit holds Ag at (0.141, 0.250, 0.387), Sb at (0.183, 0.250, 0.888), Se at (0.100, 0.750, 0.397), Se at (0.128, 0.750, 0.948) and Br at (0.461, 0.250, 0.240).



No. 16
Crystalline LuPaCuSn at its relaxed geometry. Source: Alexandria, functional PBE-GGA.

As for the electronic total energy: -5.595 eV per atom. The calculation puts the energy of formation at -0.066 eV per atom. The crystal system is cubic. For the mass density, the calculation gives 10474 kg/m3.

The structure belongs to space group F-43m (No. 216); the cell edges are 7.199, 7.199 and 7.199 Å and the angles 90.00°, 90.00° and 90.00°. The asymmetric unit holds Lu at (0.000, 0.000, 0.000), Pa at (0.000, 0.000, 0.500), Cu at (0.250, 0.250, 0.250) and Sn at (0.250, 0.250, 0.750).



No. 17
Crystalline Er3Np at its relaxed geometry. Source: Alexandria, functional PBE-GGA.

As for the electronic total energy: -6.283 eV per atom. The calculation puts the energy of formation at 0.374 eV per atom. The crystal system is cubic. For the energy above the most stable polymorph in this dataset, the calculation gives 1.974 kcal/mol of atoms. For the mass density, the calculation gives 10443 kg/m3.

The structure belongs to space group Pm-3m (No. 221); the cell edges are 4.898, 4.898 and 4.898 Å and the angles 90.00°, 90.00° and 90.00°. The asymmetric unit holds Er at (0.000, 0.000, 0.500) and Np at (0.500, 0.500, 0.500).



No. 18
Crystalline KYMg2Ni at its relaxed geometry. Source: Alexandria, functional PBE-GGA.

As for the electronic total energy: -3.258 eV per atom. The calculation puts the energy of formation at 0.049 eV per atom. The crystal system is tetragonal. For the mass density, the calculation gives 2812 kg/m3.

The structure belongs to space group P4/mmm (No. 123); the cell edges are 5.229, 5.229 and 5.081 Å and the angles 90.00°, 90.00° and 90.00°. The asymmetric unit holds K at (0.000, 0.000, 0.000), Y at (0.500, 0.500, 0.000), Mg at (0.000, 0.500, 0.500) and Ni at (0.500, 0.500, 0.500).



No. 19
Crystalline BeIn3Mo at its relaxed geometry. Source: Alexandria, functional PBE-GGA.

As for the electronic total energy: -3.610 eV per atom. The calculation puts the energy of formation at 0.945 eV per atom. The crystal system is cubic. For the energy above the most stable polymorph in this dataset, the calculation gives 0.000 kcal/mol of atoms. For the mass density, the calculation gives 6700 kg/m3.

The structure belongs to space group Pm-3m (No. 221); the cell edges are 4.811, 4.811 and 4.811 Å and the angles 90.00°, 90.00° and 90.00°. The asymmetric unit holds Be at (0.000, 0.000, 0.000), In at (0.000, 0.000, 0.500) and Mo at (0.500, 0.500, 0.500).



No. 20
Crystalline NbTcW at its relaxed geometry. Source: Alexandria, functional PBE-GGA.

As for the electronic total energy: -11.242 eV per atom. The calculation puts the energy of formation at -0.112 eV per atom. The crystal system is monoclinic. For the energy above the most stable polymorph in this dataset, the calculation gives 1.284 kcal/mol of atoms. For the mass density, the calculation gives 12737 kg/m3.

The structure belongs to space group C2/m (No. 12); the cell edges are 10.097, 3.184 and 6.406 Å and the angles 90.00°, 108.38° and 90.00°. The asymmetric unit holds Nb at (0.164, 0.000, 0.084), Tc at (0.001, 0.500, 0.257) and W at (0.165, 0.000, 0.580).